! CoHgC4S4N4, optimized geometry, DFT PBE; values from VASP
! Electronic total energy ... -6.506 eV per atom
! Uncorrected formation energy ... 0.217 eV per atom
! Magnetic moment ... 3.000 Bohr magnetons per cell
&SYSTEM
  ibrav = 0, nat = 14, ntyp = 5
/
ATOMIC_SPECIES
Co 58.93 Co.upf
Hg 200.59 Hg.upf
C 12.01 C.upf
S 32.06 S.upf
N 14.01 N.upf
CELL_PARAMETERS angstrom
-5.5674 5.5674 2.6561
5.5674 -5.5674 2.6561
5.5674 5.5674 -2.6561
ATOMIC_POSITIONS crystal
Co 0.0000 0.0000 0.0000
Hg 0.2500 0.7500 0.5000
C 0.2765 0.1213 0.7208
C 0.4004 0.5557 0.2792
C 0.4443 0.7235 0.8447
C 0.8787 0.5996 0.1553
S 0.1483 0.5753 0.7679
S 0.4247 0.1926 0.5730
S 0.6196 0.8517 0.4270
S 0.8074 0.3804 0.2321
N 0.1712 0.0754 0.8275
N 0.2480 0.3437 0.1725
N 0.6563 0.8288 0.9042
N 0.9246 0.7520 0.0958

! BaHfGa, optimized geometry, DFT PBE; values from VASP
! Excess energy over the best structure of this formula in the dataset ... 0.000 eV per formula unit
! Electronic total energy ... -5.178 eV per atom
! Magnetic moment ... 0.000 Bohr magnetons per cell
! Calculated formation energy ... -210 meV per atom
&SYSTEM
  ibrav = 0, nat = 6, ntyp = 3
/
ATOMIC_SPECIES
Ba 137.33 Ba.upf
Hf 178.49 Hf.upf
Ga 69.72 Ga.upf
CELL_PARAMETERS angstrom
3.5389 0.0000 0.0000
0.0000 3.8982 0.0000
-0.0400 0.0000 12.8040
ATOMIC_POSITIONS crystal
Ba 0.2462 0.2500 0.1555
Ba 0.7538 0.7500 0.8445
Hf 0.2491 0.2500 0.4321
Hf 0.7509 0.7500 0.5679
Ga 0.2520 0.2500 0.6600
Ga 0.7480 0.7500 0.3400

! Cs2BN, optimized geometry, DFT PBE; values from VASP
! Excess energy over the best structure of this formula in the dataset ... 0.000 eV per formula unit
! Electronic total energy ... -3.745 eV per atom
! Uncorrected formation energy ... 0.433 eV per atom
! Magnetic moment ... 0.000 Bohr magnetons per cell
&SYSTEM
  ibrav = 0, nat = 16, ntyp = 3
/
ATOMIC_SPECIES
Cs 132.91 Cs.upf
B 10.81 B.upf
N 14.01 N.upf
CELL_PARAMETERS angstrom
12.7523 0.0000 0.0000
0.0000 12.7523 0.0000
0.0000 0.0000 2.9933
ATOMIC_POSITIONS crystal
Cs 0.0348 0.2500 0.1250
Cs 0.2500 0.5348 0.3750
Cs 0.2500 0.9652 0.8750
Cs 0.4652 0.2500 0.6250
Cs 0.5348 0.7500 0.6250
Cs 0.7500 0.0348 0.8750
Cs 0.7500 0.4652 0.3750
Cs 0.9652 0.7500 0.1250
B 0.0000 0.0000 0.5000
B 0.0000 0.5000 0.7500
B 0.5000 0.0000 0.2500
B 0.5000 0.5000 0.0000
N 0.0000 0.0000 0.0000
N 0.0000 0.5000 0.2500
N 0.5000 0.0000 0.7500
N 0.5000 0.5000 0.5000

! Pr8Si3Br4O, optimized geometry, DFT PBE; values from VASP
! Electronic total energy ... -5.404 eV per atom
! Uncorrected formation energy ... -1.270 eV per atom
! Magnetic moment ... 0.000 Bohr magnetons per cell
&SYSTEM
  ibrav = 0, nat = 16, ntyp = 4
/
ATOMIC_SPECIES
Pr 140.91 Pr.upf
Si 28.09 Si.upf
Br 79.90 Br.upf
O 16.00 O.upf
CELL_PARAMETERS angstrom
4.1381 2.3892 7.5337
-4.1381 2.3892 7.5337
0.0000 -4.7783 7.5337
ATOMIC_POSITIONS crystal
Pr 0.2375 0.2375 0.2375
Pr 0.2594 0.7187 0.7187
Pr 0.2813 0.2813 0.7406
Pr 0.2813 0.7406 0.2813
Pr 0.7187 0.2594 0.7187
Pr 0.7187 0.7187 0.2594
Pr 0.7406 0.2813 0.2813
Pr 0.7625 0.7625 0.7625
Si 0.0000 0.0000 0.5000
Si 0.0000 0.5000 0.0000
Si 0.5000 0.0000 0.0000
Br 0.0000 0.0000 0.0000
Br 0.0000 0.5000 0.5000
Br 0.5000 0.0000 0.5000
Br 0.5000 0.5000 0.0000
O 0.5000 0.5000 0.5000

! BaNd4Cd5, optimized geometry, DFT PBE; values from VASP
! Electronic total energy ... -2.866 eV per atom
! Magnetic moment ... 0.297 Bohr magnetons per cell
! Calculated formation energy ... -309 meV per atom
&SYSTEM
  ibrav = 0, nat = 10, ntyp = 3
/
ATOMIC_SPECIES
Ba 137.33 Ba.upf
Nd 144.24 Nd.upf
Cd 112.41 Cd.upf
CELL_PARAMETERS angstrom
3.9080 0.0000 0.0000
0.0000 3.9080 0.0000
0.0000 0.0000 19.8523
ATOMIC_POSITIONS crystal
Ba 0.0000 0.0000 0.0000
Nd 0.0000 0.0000 0.2132
Nd 0.0000 0.0000 0.4048
Nd 0.0000 0.0000 0.5952
Nd 0.0000 0.0000 0.7868
Cd 0.5000 0.5000 0.1212
Cd 0.5000 0.5000 0.3086
Cd 0.5000 0.5000 0.5000
Cd 0.5000 0.5000 0.6914
Cd 0.5000 0.5000 0.8788

! ZnSiSe2, optimized geometry, DFT PBE; values from VASP
! Electronic total energy ... -3.219 eV per atom
! Uncorrected formation energy ... 0.198 eV per atom
! Magnetic moment ... 0.000 Bohr magnetons per cell
&SYSTEM
  ibrav = 0, nat = 8, ntyp = 3
/
ATOMIC_SPECIES
Zn 65.41 Zn.upf
Si 28.09 Si.upf
Se 78.96 Se.upf
CELL_PARAMETERS angstrom
3.4089 0.0000 0.0000
0.0000 5.5612 0.0000
0.0000 0.0000 9.3580
ATOMIC_POSITIONS crystal
Zn 0.0000 0.0000 0.0000
Zn 0.5000 0.5000 0.0000
Si 0.0000 0.5000 0.7818
Si 0.5000 0.0000 0.7818
Se 0.0000 0.0000 0.5998
Se 0.0000 0.5000 0.1956
Se 0.5000 0.0000 0.1956
Se 0.5000 0.5000 0.5998

! ZnFe2IrC, optimized geometry, DFT PBE; values from VASP
! Excess energy over the best structure of this formula in the dataset ... 0.000 eV per formula unit
! Electronic total energy ... -7.203 eV per atom
! Magnetic moment ... 3.398 Bohr magnetons per cell
! Calculated formation energy ... 54 meV per atom
&SYSTEM
  ibrav = 0, nat = 5, ntyp = 4
/
ATOMIC_SPECIES
Zn 65.41 Zn.upf
Fe 55.84 Fe.upf
Ir 192.22 Ir.upf
C 12.01 C.upf
CELL_PARAMETERS angstrom
3.8195 0.0000 0.0000
0.0000 3.8195 0.0000
0.0000 0.0000 4.0484
ATOMIC_POSITIONS crystal
Zn 0.0000 0.0000 0.0000
Fe 0.0000 0.5000 0.5000
Fe 0.5000 0.0000 0.5000
Ir 0.5000 0.5000 0.0000
C 0.5000 0.5000 0.5000

! Fe2OsPt, optimized geometry, DFT PBE; values from VASP
! Excess energy over the best structure of this formula in the dataset ... 0.221 eV per formula unit
! Electronic total energy ... -8.497 eV per atom
! Magnetic moment ... 8.222 Bohr magnetons per cell
! Calculated formation energy ... 52 meV per atom
&SYSTEM
  ibrav = 0, nat = 8, ntyp = 3
/
ATOMIC_SPECIES
Fe 55.84 Fe.upf
Os 190.23 Os.upf
Pt 195.08 Pt.upf
CELL_PARAMETERS angstrom
3.8060 0.0000 0.0000
0.0000 3.8060 0.0000
0.0000 0.0000 7.2911
ATOMIC_POSITIONS crystal
Fe 0.0000 0.5000 0.2500
Fe 0.0000 0.5000 0.7500
Fe 0.5000 0.0000 0.2500
Fe 0.5000 0.0000 0.7500
Os 0.0000 0.0000 0.0000
Os 0.5000 0.5000 0.5000
Pt 0.0000 0.0000 0.5000
Pt 0.5000 0.5000 0.0000

magnetic moment of number 7 (ZnFe2IrC)?
3.398 Bohr magnetons per cell